Material: V3CoSi
Method: DFT, GGA-PBE
State: relaxed

Computed properties:
energy relative to the lowest polymorph listed for this composition: 579 meV/atom
Fermi-level density of states: 1.11 states/eV/atom

Lattice parameters (Å, degrees): 4.265 4.265 4.265 90.00 90.00 90.00
Space group Pm-3m (No. 221)
Inequivalent atoms, fractional coordinates:
1 V 0.000 0.000 0.500 [3 per cell]
2 Co 0.000 0.000 0.000 [1 per cell]
3 Si 0.500 0.500 0.500 [1 per cell]

Material: HoHg6Pb2
Method: DFT, GGA-PBE
State: relaxed

Computed properties:
energy of formation from the pure elements: -0.8 eV/f.u.
Fermi-level density of states: 0.39 states/eV/atom

Lattice parameters (Å, degrees): 5.712 17.091 5.540 90.00 117.88 90.00
Space group C2/m (No. 12)
Inequivalent atoms, fractional coordinates:
1 Ho 0.000 0.000 0.000 [2 per cell]
2 Hg 0.167 0.500 0.337 [4 per cell]
3 Hg 0.171 0.341 0.842 [8 per cell]
4 Pb 0.000 0.178 0.500 [4 per cell]

Material: ZrTaBr2
Method: DFT, GGA-PBE
State: relaxed

Computed properties:
energy relative to the lowest polymorph listed for this composition: 1042 meV/atom
Fermi-level density of states: 1.10 states/eV/atom

Lattice parameters (Å, degrees): 4.523 4.523 7.662 90.00 90.00 90.00
Space group I4/mmm (No. 139)
Inequivalent atoms, fractional coordinates:
1 Zr 0.000 0.000 0.000 [2 per cell]
2 Ta 0.000 0.000 0.500 [2 per cell]
3 Br 0.000 0.500 0.250 [4 per cell]

Material: Nd2Si2Ag3
Method: DFT, GGA-PBE
State: relaxed

Computed properties:
E: -0.16555 Ha/atom
Fermi-level density of states: 0.31 states/eV/atom

Lattice parameters (Å, degrees): 3.810 19.340 4.175 90.00 90.00 90.00
Space group Cmmm (No. 65)
Inequivalent atoms, fractional coordinates:
1 Nd 0.000 0.165 0.000 [4 per cell]
2 Si 0.000 0.287 0.500 [4 per cell]
3 Ag 0.000 0.000 0.000 [2 per cell]
4 Ag 0.000 0.430 0.500 [4 per cell]

Material: PuTl2SnO6
Method: DFT, GGA-PBE
State: relaxed

Computed properties:
E: -0.25409 Ha/atom
Fermi-level density of states: 0.74 states/eV/atom

Lattice parameters (Å, degrees): 8.462 8.462 8.462 90.00 90.00 90.00
Space group Fm-3m (No. 225)
Inequivalent atoms, fractional coordinates:
1 Pu 0.000 0.000 0.000 [4 per cell]
2 Tl 0.250 0.250 0.250 [8 per cell]
3 Sn 0.000 0.000 0.500 [4 per cell]
4 O 0.000 0.000 0.248 [24 per cell]

Material: GaHg7Pb4
Method: DFT, GGA-PBE
State: relaxed

Computed properties:
energy of formation from the pure elements: 0.6 eV/f.u.
Fermi-level density of states: 0.34 states/eV/atom

Lattice parameters (Å, degrees): 5.542 5.601 12.759 81.15 78.52 60.40
Space group P-1 (No. 2)
Inequivalent atoms, fractional coordinates:
1 Ga 0.000 0.000 0.000 [1 per cell]
2 Hg 0.159 0.513 0.118 [2 per cell]
3 Hg 0.240 0.772 0.784 [2 per cell]
4 Hg 0.326 0.823 0.529 [2 per cell]
5 Hg 0.500 0.000 0.000 [1 per cell]
6 Pb 0.041 0.535 0.368 [2 per cell]
7 Pb 0.414 0.874 0.271 [2 per cell]

Material: BaNaSbSe3
Method: DFT, GGA-PBE
State: relaxed

Computed properties:
E: -0.14653 Ha/atom

Lattice parameters (Å, degrees): 8.216 4.448 10.515 90.00 112.75 90.00
Space group P2_1/m (No. 11)
Inequivalent atoms, fractional coordinates:
1 Ba 0.004 0.250 0.295 [2 per cell]
2 Na 0.489 0.250 0.617 [2 per cell]
3 Sb 0.396 0.250 0.115 [2 per cell]
4 Se 0.170 0.750 0.094 [2 per cell]
5 Se 0.249 0.750 0.516 [2 per cell]
6 Se 0.328 0.250 0.852 [2 per cell]

Material: CeGdThTl
Method: DFT, GGA-PBE
State: relaxed

Computed properties:
energy of formation from the pure elements: 0.2 eV/f.u.
Fermi-level density of states: 2.21 states/eV/atom

Lattice parameters (Å, degrees): 7.740 7.740 7.740 90.00 90.00 90.00
Space group F-43m (No. 216)
Inequivalent atoms, fractional coordinates:
1 Ce 0.000 0.000 0.000 [4 per cell]
2 Gd 0.250 0.250 0.750 [4 per cell]
3 Th 0.250 0.250 0.250 [4 per cell]
4 Tl 0.000 0.000 0.500 [4 per cell]

Material: Ac6CuAg2
Method: DFT, GGA-PBE
State: relaxed

Computed properties:
energy of formation from the pure elements: -0.7 eV/f.u.
Fermi-level density of states: 1.22 states/eV/atom

Lattice parameters (Å, degrees): 7.087 8.316 12.984 90.00 120.47 90.00
Space group P2_1/c (No. 14)
Inequivalent atoms, fractional coordinates:
1 Ac 0.095 0.202 0.436 [4 per cell]
2 Ac 0.288 0.668 0.440 [4 per cell]
3 Ac 0.392 0.043 0.243 [4 per cell]
4 Cu 0.500 0.000 0.500 [2 per cell]
5 Ag 0.154 0.111 0.730 [4 per cell]

Material: TeP2Pb2
Method: DFT, GGA-PBE
State: relaxed

Computed properties:
energy relative to the lowest polymorph listed for this composition: 305 meV/atom
Fermi-level density of states: 0.82 states/eV/atom

Lattice parameters (Å, degrees): 8.820 8.820 3.270 90.00 90.00 90.00
Space group P4/mbm (No. 127)
Inequivalent atoms, fractional coordinates:
1 Te 0.000 0.000 0.000 [2 per cell]
2 P 0.148 0.352 0.500 [4 per cell]
3 Pb 0.151 0.651 0.000 [4 per cell]

Material: MgBPt
Method: DFT, GGA-PBE
State: relaxed

Computed properties:
energy of formation from the pure elements: -1.1 eV/f.u.
energy relative to the lowest polymorph listed for this composition: 0 meV/atom
Fermi-level density of states: 0.16 states/eV/atom

Lattice parameters (Å, degrees): 11.617 3.290 4.680 90.00 106.90 90.00
Space group C2/m (No. 12)
Inequivalent atoms, fractional coordinates:
1 Mg 0.106 0.000 0.296 [4 per cell]
2 B 0.224 0.000 0.898 [4 per cell]
3 Pt 0.105 0.500 0.770 [4 per cell]

Material: ReB2F
Method: DFT, GGA-PBE
State: relaxed

Computed properties:
energy relative to the lowest polymorph listed for this composition: 0 meV/atom
Fermi-level density of states: 0.25 states/eV/atom

Lattice parameters (Å, degrees): 5.160 5.160 6.574 90.00 90.00 90.00
Space group I-42d (No. 122)
Inequivalent atoms, fractional coordinates:
1 Re 0.000 0.000 0.000 [4 per cell]
2 B 0.221 0.250 0.625 [8 per cell]
3 F 0.000 0.000 0.500 [4 per cell]

Number 3 is which compound? ZrTaBr2